Version a
A plane-wave DFT calculation with GGA-PBE was carried out for crystalline SrCrTe2N at its relaxed geometry.

Unit cell a=5.693 b=5.693 c=3.654 alpha=90.00 beta=90.00 gamma=90.00
Sites, in units of the cell vectors:
Sr1 0.000 0.000 0.000
Cr1 0.500 0.500 0.500
Te1 0.000 0.500 0.500
Te2 0.500 0.000 0.500
N1 0.500 0.500 0.000

## Properties
Theoretical density: 5.731 g/cm3
D(E_F): 1.9 states/eV per cell

=====

Version b
A plane-wave DFT calculation with GGA-PBE was carried out for crystalline SrCrTe2N at its relaxed geometry.

Unit cell a=4.894 b=4.894 c=4.767 alpha=90.00 beta=90.00 gamma=90.00
Sites, in units of the cell vectors:
Sr1 0.000 0.000 0.000
Cr1 0.500 0.500 0.000
Te1 0.000 0.500 0.500
Te2 0.500 0.000 0.500
N1 0.000 0.000 0.500

## Properties
Theoretical density: 5.946 g/cm3
D(E_F): 5.1 states/eV per cell

=====

Pick version a: it beats the second-best structure by 1193 meV per atom.

=====

Version a
A plane-wave DFT calculation with GGA-PBE was carried out for crystalline SrCrTe2N at its relaxed geometry.

Unit cell a=6.148 b=6.148 c=6.265 alpha=90.00 beta=90.00 gamma=90.00
Sites, in units of the cell vectors:
Sr1 0.000 0.000 0.000
Cr1 0.000 0.000 0.500
Te1 0.000 0.500 0.000
Te2 0.500 0.000 0.000
N1 0.500 0.500 0.500

## Properties
Theoretical density: 2.866 g/cm3
D(E_F): 6.9 states/eV per cell

=====

Version b
A plane-wave DFT calculation with GGA-PBE was carried out for crystalline SrCrTe2N at its relaxed geometry.

Unit cell a=6.208 b=6.208 c=4.747 alpha=90.00 beta=90.00 gamma=90.00
Sites, in units of the cell vectors:
Sr1 0.000 0.000 0.000
Cr1 0.500 0.500 0.500
Te1 0.000 0.500 0.000
Te2 0.500 0.000 0.000
N1 0.000 0.000 0.500

## Properties
Theoretical density: 3.710 g/cm3
D(E_F): 4.2 states/eV per cell

=====

Pick version b: it beats the second-best structure by 602 meV per atom.

=====

Version a
A plane-wave DFT calculation with GGA-PBE was carried out for crystalline SrCrTeN2 at its relaxed geometry.

Unit cell a=4.128 b=4.128 c=5.562 alpha=90.00 beta=90.00 gamma=90.00
Sites, in units of the cell vectors:
Sr1 0.000 0.000 0.000
Cr1 0.500 0.500 0.500
Te1 0.500 0.500 0.000
N1 0.000 0.500 0.500
N2 0.500 0.000 0.500

## Properties
Theoretical density: 5.174 g/cm3
D(E_F): 1.1 states/eV per cell

=====

Version b
A plane-wave DFT calculation with GGA-PBE was carried out for crystalline SrCrTeN2 at its relaxed geometry.

Unit cell a=4.755 b=4.755 c=6.839 alpha=90.00 beta=90.00 gamma=90.00
Sites, in units of the cell vectors:
Sr1 0.000 0.000 0.000
Cr1 0.500 0.500 0.500
Te1 0.000 0.000 0.500
N1 0.000 0.500 0.000
N2 0.500 0.000 0.000

## Properties
Theoretical density: 3.170 g/cm3
D(E_F): 4.3 states/eV per cell

=====

Pick version a: it beats the second-best structure by 1325 meV per atom.

=====

Version a
A plane-wave DFT calculation with GGA-PBE was carried out for crystalline TaCrTe2N at its relaxed geometry.

Unit cell a=5.563 b=5.563 c=3.889 alpha=90.00 beta=90.00 gamma=90.00
Sites, in units of the cell vectors:
Ta1 0.000 0.000 0.000
Cr1 0.500 0.500 0.500
Te1 0.000 0.500 0.000
Te2 0.500 0.000 0.000
N1 0.000 0.000 0.500

## Properties
Theoretical density: 6.929 g/cm3
D(E_F): 2.2 states/eV per cell

=====

Version b
A plane-wave DFT calculation with GGA-PBE was carried out for crystalline TaCrTe2N at its relaxed geometry.

Unit cell a=5.298 b=5.298 c=3.522 alpha=90.00 beta=90.00 gamma=90.00
Sites, in units of the cell vectors:
Ta1 0.000 0.000 0.000
Cr1 0.500 0.500 0.500
Te1 0.000 0.500 0.500
Te2 0.500 0.000 0.500
N1 0.500 0.500 0.000

## Properties
Theoretical density: 8.437 g/cm3
D(E_F): 3.5 states/eV per cell

=====

Pick version a: it beats the second-best structure by 207 meV per atom.